Be3TcSb: optimized geometry, GGA-PBE.

```
Be3TcSb
1.0
-4.227 -0.193 -0.682
-0.215 -3.581 2.345
-0.675 2.347 3.523
Be Sb Tc
3 1 1
Direct
0.000 0.000 0.500
0.000 0.500 0.000
0.500 0.000 0.000
0.500 0.500 0.500
0.000 0.000 0.000
```

For the density of states at the Fermi level, the calculation gives 0.395 states/eV per atom. For the mass density, the calculation gives 5204 kg/m³. Its uncorrected formation energy is 18.6 kcal/mol of atoms. Its symmetry is Pm-3m. For the offset from the most stable computed form, the calculation gives 0.00 kcal/mol of atoms.